The following is a GGA-PBE calculation of crystalline GdThRhAu at its relaxed geometry, from the Alexandria database.

The structure belongs to space group F-43m (No. 216); the cell edges are 7.213, 7.213 and 7.213 Å and the angles 90.00°, 90.00° and 90.00°. The inequivalent atoms are Gd at (0.000, 0.000, 0.000), Th at (0.000, 0.000, 0.500), Rh at (0.250, 0.250, 0.250) and Au at (0.250, 0.250, 0.750).

Its energy of formation from the pure elements is -67.6 kJ/mol of atoms.



The following is a GGA-PBE calculation of crystalline Pa4ReTe3 at its relaxed geometry, from the Alexandria database.

The structure belongs to space group Cmmm (No. 65); the cell edges are 8.940, 12.179 and 4.106 Å and the angles 90.00°, 90.00° and 90.00°. The inequivalent atoms are Pa at (0.000, 0.229, 0.000), Pa at (0.211, 0.000, 0.500), Re at (0.000, 0.000, 0.000), Te at (0.000, 0.500, 0.000) and Te at (0.250, 0.250, 0.500).

Its raw formation energy is -507 meV per atom.



The following is a GGA-PBE calculation of crystalline CsKClF at its relaxed geometry, from the Alexandria database.

The structure belongs to space group R-3m (No. 166, hexagonal axes); the cell edges are 5.2775, 5.2775 and 33.7449 Å and the angles 90.00°, 90.00° and 120.00°. The inequivalent atoms are Cs at (0.0000, 0.0000, 0.1233), K at (0.0000, 0.0000, 0.2865), Cl at (0.0000, 0.0000, 0.3812) and F at (0.0000, 0.0000, 0.2091).

Its raw formation energy is -2271 meV per atom. The value obtained for the energy above the most stable polymorph in this dataset is 0.0 meV/atom.



The following is a GGA-PBE calculation of crystalline KLaGePb2 at its relaxed geometry, from the Alexandria database.

The structure belongs to space group P4/mmm (No. 123); the cell edges are 5.761, 5.761 and 5.706 Å and the angles 90.00°, 90.00° and 90.00°. The inequivalent atoms are K at (0.000, 0.000, 0.000), La at (0.500, 0.500, 0.000), Ge at (0.500, 0.500, 0.500) and Pb at (0.000, 0.500, 0.500).

Its energy of formation from the pure elements is 1.7 kJ/mol of atoms.



The following is a GGA-PBE calculation of crystalline BaCa2Ru at its relaxed geometry, from the Alexandria database.

The structure belongs to space group Fm-3m (No. 225); the cell edges are 7.720, 7.720 and 7.720 Å and the angles 90.00°, 90.00° and 90.00°. The inequivalent atoms are Ba at (0.000, 0.000, 0.000), Ca at (0.250, 0.250, 0.250) and Ru at (0.000, 0.000, 0.500).

The value obtained for the energy above the most stable polymorph in this dataset is 204.8 meV/atom. Its energy of formation from the pure elements is 42.3 kJ/mol of atoms.



The following is a GGA-PBE calculation of crystalline Sr2ScGa2O6 at its relaxed geometry, from the Alexandria database.

The structure belongs to space group P-3 (No. 147); the cell edges are 5.8370, 5.8370 and 6.9637 Å and the angles 90.00°, 90.00° and 120.00°. The inequivalent atoms are Sr at (0.3333, 0.6667, 0.3358), Sc at (0.0000, 0.0000, 0.5000), Ga at (0.3333, 0.6667, 0.7663) and O at (0.0935, 0.3431, 0.6667).

Its raw formation energy is -2241 meV per atom.



| no. | magnetic moment (μB per formula unit) | DOS at the Fermi energy (states/eV per cell) |
| --- | --- | --- |
| 1 | 7.232 | 11.87 |
| 2 | 0.000 | 24.16 |
| 3 | 0.131 | 0.00 |
| 4 | 0.000 | 3.77 |
| 5 | 0.000 | 10.02 |
| 6 | 0.741 | 2.56 |